Entry 1:
CaLuCdSn | GGA-PBE | relaxed

Cell lengths 5.3023, 5.3023, 5.3023 Å; angles 60.00, 60.00, 60.00 degrees
Last column: nearest neighbours and their distance in Å.
Fractional coordinates of all 4 atoms:
1 Sn 0.2500 0.2500 0.2500  4 Lu 3.25, 4 Ca 3.25
2 Lu 0.0000 0.0000 0.0000  4 Cd 3.25, 4 Sn 3.25
3 Ca 0.5000 0.5000 0.5000  4 Cd 3.25, 4 Sn 3.25
4 Cd 0.7500 0.7500 0.7500  4 Ca 3.25, 4 Lu 3.25

## Properties
ΔE_f = -448.5 meV/atom
Total magnetization = 0.00 Bohr magnetons per cell
Uncorrected energy = -13.23 eV/cell
Space-group type = F-43m, No. 216

Entry 2:
CaTbLuCd | GGA-PBE | relaxed

Cell lengths 5.5020, 5.5020, 5.5020 Å; angles 60.00, 60.00, 60.00 degrees
Last column: nearest neighbours and their distance in Å.
Fractional coordinates of all 4 atoms:
1 Tb 0.5000 0.5000 0.5000  4 Lu 3.37, 4 Cd 3.37
2 Ca 0.0000 0.0000 0.0000  4 Cd 3.37, 4 Lu 3.37
3 Cd 0.7500 0.7500 0.7500  4 Tb 3.37, 4 Ca 3.37
4 Lu 0.2500 0.2500 0.2500  4 Tb 3.37, 4 Ca 3.37

## Properties
ΔE_f = 2.6 meV/atom
Total magnetization = 0.00 Bohr magnetons per cell
Uncorrected energy = -12.06 eV/cell
Space-group type = F-43m, No. 216

Entry 3:
CaLuTlCd | GGA-PBE | relaxed

Cell lengths 5.3303, 5.3303, 5.3303 Å; angles 60.00, 60.00, 60.00 degrees
Last column: nearest neighbours and their distance in Å.
Fractional coordinates of all 4 atoms:
1 Cd 0.0000 0.0000 0.0000  4 Lu 3.26, 4 Ca 3.26
2 Ca 0.7500 0.7500 0.7500  4 Tl 3.26, 4 Cd 3.26
3 Lu 0.2500 0.2500 0.2500  4 Cd 3.26, 4 Tl 3.26
4 Tl 0.5000 0.5000 0.5000  4 Ca 3.26, 4 Lu 3.26

## Properties
ΔE_f = -342.6 meV/atom
Total magnetization = 0.00 Bohr magnetons per cell
Uncorrected energy = -11.17 eV/cell
Space-group type = F-43m, No. 216

Entry 4:
CaYLuCd | GGA-PBE | relaxed

Cell lengths 5.4742, 5.4742, 5.4742 Å; angles 60.00, 60.00, 60.00 degrees
Last column: nearest neighbours and their distance in Å.
Fractional coordinates of all 4 atoms:
1 Y 0.0000 0.0000 0.0000  4 Cd 3.35, 4 Ca 3.35
2 Ca 0.2500 0.2500 0.2500  4 Lu 3.35, 4 Y 3.35
3 Lu 0.5000 0.5000 0.5000  4 Ca 3.35, 4 Cd 3.35
4 Cd 0.7500 0.7500 0.7500  4 Lu 3.35, 4 Y 3.35

## Properties
ΔE_f = 8.6 meV/atom
Total magnetization = 0.00 Bohr magnetons per cell
Uncorrected energy = -13.87 eV/cell
Space-group type = F-43m, No. 216

Entry 5:
Ca3Mg2Cd3 | GGA-PBE | relaxed

Cell lengths 3.9512, 5.2714, 10.9207 Å; angles 103.97, 100.42, 90.00 degrees
Last column: nearest neighbours and their distance in Å.
Fractional coordinates of all 8 atoms:
1 Cd 0.0000 0.5000 0.0000  8 Ca 3.27-3.29
2 Cd 0.1344 0.1344 0.2688  2 Mg 2.99, 4 Ca 3.30
3 Cd 0.8656 0.8656 0.7312  2 Mg 2.99, 4 Ca 3.30
4 Ca 0.5000 0.0000 0.0000  8 Cd 3.29-3.43
5 Ca 0.3746 0.3746 0.7493  6 Cd 3.27-3.30, 4 Mg 3.40-3.58
6 Ca 0.6254 0.6254 0.2507  6 Cd 3.27-3.30, 4 Mg 3.40-3.58
7 Mg 0.7420 0.2420 0.4841  2 Cd 2.99, 4 Mg 3.31
8 Mg 0.2580 0.7580 0.5159  2 Cd 2.99, 4 Mg 3.31

## Properties
ΔE_f = -253.3 meV/atom
Total magnetization = 0.00 Bohr magnetons per cell
Uncorrected energy = -13.97 eV/cell
Space-group type = Immm, No. 71

Entry 6:
Ca17Mg11Cd | GGA-PBE | relaxed

Cell lengths 10.5748, 10.5748, 10.6172 Å; angles 108.04, 108.04, 107.88 degrees
Last column: nearest neighbours and their distance in Å.
Fractional coordinates of all 29 atoms:
1 Ca 0.0002 0.3548 0.9997  1 Cd 3.51, 4 Ca 3.52-3.70, 5 Mg 3.54-3.72
2 Ca 0.3308 0.9954 0.5850  5 Mg 3.44-3.67, 4 Ca 3.62-3.77
3 Ca 0.6967 0.3020 0.6962  7 Ca 3.52-3.74, 5 Mg 3.61-3.88
4 Ca 0.3298 0.5831 0.9969  1 Cd 3.44, 4 Mg 3.45-3.64, 5 Ca 3.59-3.79
5 Ca 0.5855 0.9962 0.3302  5 Mg 3.44-3.66, 5 Ca 3.62-3.83
6 Ca 0.3879 0.3879 0.6698  3 Mg 3.39-3.55, 7 Ca 3.60-3.79
7 Ca 0.6967 0.6967 0.2996  7 Ca 3.49-3.72, 4 Mg 3.62-3.66, 1 Cd 3.87
8 Ca 0.3881 0.6608 0.3838  1 Cd 3.32, 2 Mg 3.33-3.56, 3 Ca 3.58-3.71
9 Ca 0.9954 0.3308 0.5850  5 Mg 3.44-3.67, 4 Ca 3.62-3.77
10 Ca 0.9962 0.5855 0.3302  5 Mg 3.44-3.66, 5 Ca 3.62-3.83
11 Ca 0.9989 0.9989 0.3550  4 Ca 3.49-3.74, 6 Mg 3.54-3.71
12 Ca 0.3548 0.0002 0.9997  1 Cd 3.51, 4 Ca 3.52-3.70, 5 Mg 3.54-3.72
13 Ca 0.6608 0.3881 0.3838  1 Cd 3.32, 2 Mg 3.33-3.56, 3 Ca 3.58-3.71
14 Ca 0.5831 0.3298 0.9969  1 Cd 3.44, 4 Mg 3.45-3.64, 5 Ca 3.59-3.79
15 Ca 0.6991 0.6991 0.7003  6 Mg 3.52, 4 Ca 3.55-3.72
16 Ca 0.3020 0.6967 0.6962  7 Ca 3.52-3.74, 5 Mg 3.61-3.88
17 Ca 0.0128 0.0128 0.0117  1 Cd 3.51, 11 Mg 3.51-3.80, 4 Ca 3.55-3.74
18 Mg 0.8015 0.1817 0.1812  3 Mg 3.15-3.16
19 Mg 0.1805 0.1805 0.8040  1 Cd 3.09, 2 Mg 3.15
20 Mg 0.6457 0.8310 0.0175  3 Mg 3.16-3.19, 2 Ca 3.45-3.52
21 Mg 0.8302 0.0165 0.6459  3 Mg 3.15-3.18, 2 Ca 3.44-3.52
22 Mg 0.0185 0.6473 0.8329  3 Mg 3.15-3.19, 2 Ca 3.44-3.52
23 Mg 0.6473 0.0185 0.8329  3 Mg 3.15-3.19, 2 Ca 3.44-3.52
24 Mg 0.1817 0.8015 0.1812  3 Mg 3.15-3.16
25 Mg 0.8310 0.6457 0.0175  3 Mg 3.16-3.19, 2 Ca 3.45-3.52
26 Mg 0.0165 0.8302 0.6459  3 Mg 3.15-3.18, 2 Ca 3.44-3.52
27 Mg 0.1532 0.3378 0.3379  2 Mg 3.16, 1 Cd 3.23, 5 Ca 3.33-3.52
28 Mg 0.3378 0.1532 0.3379  2 Mg 3.16, 1 Cd 3.23, 5 Ca 3.33-3.52
29 Cd 0.3373 0.3373 0.1457  3 Mg 3.09-3.23, 4 Ca 3.32-3.44

## Properties
ΔE_f = -52.4 meV/atom
Total magnetization = 0.00 Bohr magnetons per cell
Uncorrected energy = -54.00 eV/cell
Space-group type = Cm, No. 8